The following is a DFT calculation (PBE+U) of a relaxed HfVO2 crystal.

abc: 5.492 5.492 5.492
angles: 90.00 90.00 90.00
Space group Fm-3m (No. 225)
Inequivalent atoms, fractional coordinates:
Hf  0.000  0.000  0.000 x4
V  0.000  0.000  0.500 x4
O  0.250  0.250  0.250 x8

- total energy (Ry/atom) = -0.58678
- DOS at the Fermi energy (states/eV/atom) = 0.83
- crystal system = cubic